# 1
{
  "formula": "SnMoOs3",
  "functional": "GGA-PBEsol",
  "state": "optimized geometry",
  "e_form_mev_per_atom": 2096,
  "magnetic_moment_mub_per_cell": 0.0,
  "space_group": "Pm-3m, No. 221",
  "final_energy_ev_per_atom": -8.439,
  "lattice_angstrom": [[4.6555, 0.0000, 0.0000], [0.0000, 4.6555, 0.0000], [0.0000, 0.0000, 4.6555]],
  "species": ["Sn", "Mo", "Os", "Os", "Os"],
  "frac_coords": [[0.0000, 0.0000, 0.0000], [0.5000, 0.5000, 0.5000], [0.0000, 0.5000, 0.5000], [0.5000, 0.0000, 0.5000], [0.5000, 0.5000, 0.0000]]
}

=====

# 2
{
  "formula": "SnMo3Os",
  "functional": "GGA-PBEsol",
  "state": "optimized geometry",
  "e_form_mev_per_atom": 2816,
  "magnetic_moment_mub_per_cell": 0.0,
  "space_group": "Pm-3m, No. 221",
  "final_energy_ev_per_atom": -7.540,
  "lattice_angstrom": [[4.7002, 0.0000, 0.0000], [0.0000, 4.7002, 0.0000], [0.0000, 0.0000, 4.7002]],
  "species": ["Sn", "Mo", "Mo", "Mo", "Os"],
  "frac_coords": [[0.0000, 0.0000, 0.0000], [0.0000, 0.0000, 0.5000], [0.0000, 0.5000, 0.0000], [0.5000, 0.0000, 0.0000], [0.5000, 0.5000, 0.5000]]
}

=====

# 3
{
  "formula": "Sr2MoOs",
  "functional": "GGA-PBEsol",
  "state": "optimized geometry",
  "e_form_mev_per_atom": 1472,
  "magnetic_moment_mub_per_cell": 15.1,
  "space_group": "Fm-3m, No. 225",
  "final_energy_ev_per_atom": -5.444,
  "relative_energy_ev_per_fu": 3.60,
  "lattice_angstrom": [[7.2301, 0.0000, 0.0000], [0.0000, 7.2301, 0.0000], [0.0000, 0.0000, 7.2301]],
  "species": ["Sr", "Sr", "Sr", "Sr", "Sr", "Sr", "Sr", "Sr", "Mo", "Mo", "Mo", "Mo", "Os", "Os", "Os", "Os"],
  "frac_coords": [[0.2500, 0.2500, 0.2500], [0.2500, 0.2500, 0.7500], [0.2500, 0.7500, 0.2500], [0.2500, 0.7500, 0.7500], [0.7500, 0.2500, 0.2500], [0.7500, 0.2500, 0.7500], [0.7500, 0.7500, 0.2500], [0.7500, 0.7500, 0.7500], [0.0000, 0.0000, 0.0000], [0.0000, 0.5000, 0.5000], [0.5000, 0.0000, 0.5000], [0.5000, 0.5000, 0.0000], [0.0000, 0.0000, 0.5000], [0.0000, 0.5000, 0.0000], [0.5000, 0.0000, 0.0000], [0.5000, 0.5000, 0.5000]]
}

=====

# 4
{
  "formula": "SrMo3Os",
  "functional": "GGA-PBEsol",
  "state": "optimized geometry",
  "e_form_mev_per_atom": 3370,
  "magnetic_moment_mub_per_cell": 0.0,
  "space_group": "Pm-3m, No. 221",
  "final_energy_ev_per_atom": -6.502,
  "lattice_angstrom": [[4.5260, 0.0000, 0.0000], [0.0000, 4.5260, 0.0000], [0.0000, 0.0000, 4.5260]],
  "species": ["Sr", "Mo", "Mo", "Mo", "Os"],
  "frac_coords": [[0.0000, 0.0000, 0.0000], [0.0000, 0.0000, 0.5000], [0.0000, 0.5000, 0.0000], [0.5000, 0.0000, 0.0000], [0.5000, 0.5000, 0.5000]]
}

=====

# 5
{
  "formula": "Sr2MoOs",
  "functional": "GGA-PBEsol",
  "state": "optimized geometry",
  "e_form_mev_per_atom": 1213,
  "magnetic_moment_mub_per_cell": 0.0,
  "space_group": "P2/m, No. 10",
  "final_energy_ev_per_atom": -5.703,
  "relative_energy_ev_per_fu": 2.56,
  "lattice_angstrom": [[2.9528, 0.0000, 0.0000], [0.0000, 5.1473, 0.0000], [-0.0904, 0.0000, 5.5119]],
  "species": ["Sr", "Sr", "Mo", "Os"],
  "frac_coords": [[0.0054, 0.0000, 0.2534], [0.9946, 0.0000, 0.7466], [0.5000, 0.5000, 0.0000], [0.5000, 0.5000, 0.5000]]
}

=====

# 6
{
  "formula": "Sr2MoOs",
  "functional": "GGA-PBEsol",
  "state": "optimized geometry",
  "e_form_mev_per_atom": 573,
  "magnetic_moment_mub_per_cell": 0.0,
  "space_group": "Immm, No. 71",
  "final_energy_ev_per_atom": -6.343,
  "relative_energy_ev_per_fu": 0.00,
  "lattice_angstrom": [[3.3704, 0.0000, 0.0000], [0.0000, 3.8249, 0.0000], [0.0000, 0.0000, 17.9608]],
  "species": ["Sr", "Sr", "Sr", "Sr", "Mo", "Mo", "Os", "Os"],
  "frac_coords": [[0.0000, 0.0000, 0.1467], [0.0000, 0.0000, 0.8533], [0.5000, 0.5000, 0.3533], [0.5000, 0.5000, 0.6467], [0.0000, 0.5000, 0.0000], [0.5000, 0.0000, 0.5000], [0.0000, 0.5000, 0.5000], [0.5000, 0.0000, 0.0000]]
}

=====

# 7
{
  "formula": "Sr2MoOs",
  "functional": "GGA-PBEsol",
  "state": "optimized geometry",
  "e_form_mev_per_atom": 1141,
  "magnetic_moment_mub_per_cell": 0.0,
  "space_group": "F-43m, No. 216",
  "final_energy_ev_per_atom": -5.775,
  "relative_energy_ev_per_fu": 2.27,
  "lattice_angstrom": [[6.9870, 0.0000, 0.0000], [0.0000, 6.9870, 0.0000], [0.0000, 0.0000, 6.9870]],
  "species": ["Sr", "Sr", "Sr", "Sr", "Sr", "Sr", "Sr", "Sr", "Mo", "Mo", "Mo", "Mo", "Os", "Os", "Os", "Os"],
  "frac_coords": [[0.0000, 0.0000, 0.0000], [0.0000, 0.5000, 0.5000], [0.2500, 0.2500, 0.2500], [0.2500, 0.7500, 0.7500], [0.5000, 0.0000, 0.5000], [0.5000, 0.5000, 0.0000], [0.7500, 0.2500, 0.7500], [0.7500, 0.7500, 0.2500], [0.2500, 0.2500, 0.7500], [0.2500, 0.7500, 0.2500], [0.7500, 0.2500, 0.2500], [0.7500, 0.7500, 0.7500], [0.0000, 0.0000, 0.5000], [0.0000, 0.5000, 0.0000], [0.5000, 0.0000, 0.0000], [0.5000, 0.5000, 0.5000]]
}

=====

# 8
{
  "formula": "Ta2MoOs",
  "functional": "GGA-PBEsol",
  "state": "optimized geometry",
  "e_form_mev_per_atom": 20,
  "magnetic_moment_mub_per_cell": 0.0,
  "space_group": "I-4m2, No. 119",
  "final_energy_ev_per_atom": -12.252,
  "lattice_angstrom": [[3.7804, 0.0000, 0.0000], [0.0000, 3.7804, 0.0000], [0.0000, 0.0000, 9.1331]],
  "species": ["Ta", "Ta", "Ta", "Ta", "Mo", "Mo", "Os", "Os"],
  "frac_coords": [[0.0000, 0.0000, 0.0000], [0.0000, 0.5000, 0.2500], [0.5000, 0.0000, 0.7500], [0.5000, 0.5000, 0.5000], [0.0000, 0.0000, 0.5000], [0.5000, 0.5000, 0.0000], [0.0000, 0.5000, 0.7500], [0.5000, 0.0000, 0.2500]]
}

=====

# 9
{
  "formula": "Ta4MoOs",
  "functional": "GGA-PBEsol",
  "state": "optimized geometry",
  "e_form_mev_per_atom": 500,
  "magnetic_moment_mub_per_cell": 0.0,
  "space_group": "F-43m, No. 216",
  "final_energy_ev_per_atom": -11.864,
  "lattice_angstrom": [[0.0000, 3.7201, 3.7201], [3.7201, 0.0000, 3.7201], [3.7201, 3.7201, 0.0000]],
  "species": ["Ta", "Ta", "Ta", "Ta", "Mo", "Os"],
  "frac_coords": [[0.1250, 0.1250, 0.1250], [0.1250, 0.1250, 0.6251], [0.1250, 0.6251, 0.1250], [0.6251, 0.1250, 0.1250], [0.7500, 0.7500, 0.7500], [0.5000, 0.5000, 0.5000]]
}

=====

# 10
{
  "formula": "Ta2MoOs",
  "functional": "GGA-PBEsol",
  "state": "optimized geometry",
  "e_form_mev_per_atom": -383,
  "magnetic_moment_mub_per_cell": 0.0,
  "space_group": "Fm-3m, No. 225",
  "final_energy_ev_per_atom": -12.655,
  "lattice_angstrom": [[6.3386, 0.0000, 0.0000], [0.0000, 6.3386, 0.0000], [0.0000, 0.0000, 6.3386]],
  "species": ["Ta", "Ta", "Ta", "Ta", "Ta", "Ta", "Ta", "Ta", "Mo", "Mo", "Mo", "Mo", "Os", "Os", "Os", "Os"],
  "frac_coords": [[0.2500, 0.2500, 0.2500], [0.2500, 0.2500, 0.7500], [0.2500, 0.7500, 0.2500], [0.2500, 0.7500, 0.7500], [0.7500, 0.2500, 0.2500], [0.7500, 0.2500, 0.7500], [0.7500, 0.7500, 0.2500], [0.7500, 0.7500, 0.7500], [0.0000, 0.0000, 0.0000], [0.0000, 0.5000, 0.5000], [0.5000, 0.0000, 0.5000], [0.5000, 0.5000, 0.0000], [0.0000, 0.0000, 0.5000], [0.0000, 0.5000, 0.0000], [0.5000, 0.0000, 0.0000], [0.5000, 0.5000, 0.5000]]
}

=====

# 11
{
  "formula": "Ta2MoOs",
  "functional": "GGA-PBEsol",
  "state": "optimized geometry",
  "e_form_mev_per_atom": -319,
  "magnetic_moment_mub_per_cell": 0.0,
  "space_group": "P4/mmm, No. 123",
  "final_energy_ev_per_atom": -12.591,
  "lattice_angstrom": [[3.1706, 0.0000, 0.0000], [0.0000, 3.1706, 0.0000], [0.0000, 0.0000, 6.3548]],
  "species": ["Ta", "Ta", "Mo", "Os"],
  "frac_coords": [[0.0000, 0.0000, 0.2464], [0.0000, 0.0000, 0.7536], [0.5000, 0.5000, 0.0000], [0.5000, 0.5000, 0.5000]]
}

=====

# 12
{
  "formula": "Ta2TcMoOs",
  "functional": "GGA-PBEsol",
  "state": "optimized geometry",
  "e_form_mev_per_atom": 1752,
  "magnetic_moment_mub_per_cell": 0.4,
  "space_group": "P4/mmm, No. 123",
  "final_energy_ev_per_atom": -10.319,
  "lattice_angstrom": [[4.7390, 0.0000, 0.0000], [0.0000, 4.7390, 0.0000], [0.0000, 0.0000, 4.5765]],
  "species": ["Ta", "Ta", "Tc", "Mo", "Os"],
  "frac_coords": [[0.0000, 0.5000, 0.0000], [0.5000, 0.0000, 0.0000], [0.0000, 0.0000, 0.5000], [0.5000, 0.5000, 0.5000], [0.5000, 0.5000, 0.0000]]
}

=====

# 13
{
  "formula": "TeMo2Os",
  "functional": "GGA-PBEsol",
  "state": "optimized geometry",
  "magnetic_moment_mub_per_cell": 0.0,
  "space_group": "I4/mmm, No. 139",
  "final_energy_ev_per_atom": -9.350,
  "e_form_raw_ev_per_fu": 1.88,
  "lattice_angstrom": [[3.8622, 0.0000, 0.0000], [0.0000, 3.8622, 0.0000], [0.0000, 0.0000, 8.5078]],
  "species": ["Te", "Te", "Mo", "Mo", "Mo", "Mo", "Os", "Os"],
  "frac_coords": [[0.0000, 0.0000, 0.0000], [0.5000, 0.5000, 0.5000], [0.0000, 0.5000, 0.2500], [0.0000, 0.5000, 0.7500], [0.5000, 0.0000, 0.2500], [0.5000, 0.0000, 0.7500], [0.0000, 0.0000, 0.5000], [0.5000, 0.5000, 0.0000]]
}

=====

# 14
{
  "formula": "Te3MoOs",
  "functional": "GGA-PBEsol",
  "state": "optimized geometry",
  "magnetic_moment_mub_per_cell": 2.2,
  "space_group": "Pm-3m, No. 221",
  "final_energy_ev_per_atom": -5.485,
  "e_form_raw_ev_per_fu": 7.14,
  "lattice_angstrom": [[5.1241, 0.0000, 0.0000], [0.0000, 5.1241, 0.0000], [0.0000, 0.0000, 5.1241]],
  "species": ["Te", "Te", "Te", "Mo", "Os"],
  "frac_coords": [[0.0000, 0.0000, 0.5000], [0.0000, 0.5000, 0.0000], [0.5000, 0.0000, 0.0000], [0.5000, 0.5000, 0.5000], [0.0000, 0.0000, 0.0000]]
}

=====

# 15
{
  "formula": "Te2MoOs",
  "functional": "GGA-PBEsol",
  "state": "optimized geometry",
  "magnetic_moment_mub_per_cell": 0.0,
  "space_group": "Imm2, No. 44",
  "final_energy_ev_per_atom": -7.177,
  "e_form_raw_ev_per_fu": 2.33,
  "relative_energy_ev_per_fu": 1.28,
  "lattice_angstrom": [[3.2086, 0.0000, 0.0000], [0.0000, 4.1147, 0.0000], [0.0000, 0.0000, 12.2103]],
  "species": ["Te", "Te", "Te", "Te", "Mo", "Mo", "Os", "Os"],
  "frac_coords": [[0.0000, 0.0000, 0.0000], [0.0000, 0.5000, 0.2436], [0.5000, 0.0000, 0.7436], [0.5000, 0.5000, 0.5000], [0.0000, 0.5000, 0.8501], [0.5000, 0.0000, 0.3501], [0.0000, 0.0000, 0.5342], [0.5000, 0.5000, 0.0342]]
}

=====

# 16
{
  "formula": "Te2MoOs",
  "functional": "GGA-PBEsol",
  "state": "optimized geometry",
  "magnetic_moment_mub_per_cell": 0.0,
  "space_group": "Pm, No. 6",
  "final_energy_ev_per_atom": -7.496,
  "e_form_raw_ev_per_fu": 1.05,
  "relative_energy_ev_per_fu": 0.00,
  "lattice_angstrom": [[2.9773, 0.0000, 0.0000], [0.0000, 3.8997, 0.0000], [-1.2791, 0.0000, 7.4729]],
  "species": ["Te", "Te", "Mo", "Os"],
  "frac_coords": [[0.0000, 0.0000, 0.0000], [0.2942, 0.5000, 0.6021], [0.6009, 0.5000, 0.2183], [0.1653, 0.0000, 0.3567]]
}

=====

# 17
{
  "formula": "Te2MoOs",
  "functional": "GGA-PBEsol",
  "state": "optimized geometry",
  "magnetic_moment_mub_per_cell": 0.0,
  "space_group": "Pmmm, No. 47",
  "final_energy_ev_per_atom": -6.731,
  "e_form_raw_ev_per_fu": 4.11,
  "relative_energy_ev_per_fu": 3.06,
  "lattice_angstrom": [[3.1956, 0.0000, 0.0000], [0.0000, 4.3877, 0.0000], [0.0000, 0.0000, 5.4090]],
  "species": ["Te", "Te", "Mo", "Os"],
  "frac_coords": [[0.0000, 0.0000, 0.0000], [0.5000, 0.0000, 0.5000], [0.0000, 0.5000, 0.5000], [0.5000, 0.5000, 0.0000]]
}

=====

# 18
{
  "formula": "TeMo2Os",
  "functional": "GGA-PBEsol",
  "state": "optimized geometry",
  "magnetic_moment_mub_per_cell": 0.0,
  "space_group": "Pmmm, No. 47",
  "final_energy_ev_per_atom": -9.327,
  "e_form_raw_ev_per_fu": 1.97,
  "lattice_angstrom": [[3.1627, 0.0000, 0.0000], [0.0000, 4.4735, 0.0000], [0.0000, 0.0000, 4.5585]],
  "species": ["Te", "Mo", "Mo", "Os"],
  "frac_coords": [[0.0000, 0.0000, 0.0000], [0.0000, 0.5000, 0.5000], [0.5000, 0.0000, 0.5000], [0.5000, 0.5000, 0.0000]]
}

=====

# 19
{
  "formula": "Zn2TeMoOs",
  "functional": "GGA-PBEsol",
  "state": "optimized geometry",
  "magnetic_moment_mub_per_cell": 2.6,
  "space_group": "P4/mmm, No. 123",
  "final_energy_ev_per_atom": -4.305,
  "e_form_raw_ev_per_fu": 9.15,
  "lattice_angstrom": [[4.7075, 0.0000, 0.0000], [0.0000, 4.7075, 0.0000], [0.0000, 0.0000, 4.9463]],
  "species": ["Zn", "Zn", "Te", "Mo", "Os"],
  "frac_coords": [[0.0000, 0.5000, 0.0000], [0.5000, 0.0000, 0.0000], [0.0000, 0.0000, 0.5000], [0.0000, 0.0000, 0.0000], [0.5000, 0.5000, 0.5000]]
}

=====

# 20
{
  "formula": "Ti3MoOs",
  "functional": "GGA-PBEsol",
  "state": "optimized geometry",
  "e_form_mev_per_atom": 1205,
  "magnetic_moment_mub_per_cell": 0.0,
  "space_group": "Pm-3m, No. 221",
  "final_energy_ev_per_atom": -8.585,
  "lattice_angstrom": [[4.4874, 0.0000, 0.0000], [0.0000, 4.4874, 0.0000], [0.0000, 0.0000, 4.4874]],
  "species": ["Ti", "Ti", "Ti", "Mo", "Os"],
  "frac_coords": [[0.0000, 0.0000, 0.5000], [0.0000, 0.5000, 0.0000], [0.5000, 0.0000, 0.0000], [0.0000, 0.0000, 0.0000], [0.5000, 0.5000, 0.5000]]
}